Below is K2TbP2S6 after structural relaxation, with properties calculated at the GGA-PBE level.

Geometry as CIF:
```
data_K2TbP2S6
_chemical_formula_sum 'K2 Tb1 P2 S6'
_cell_length_a 6.902
_cell_length_b 6.784
_cell_length_c 8.012
_cell_angle_alpha 114.04
_cell_angle_beta 90.00
_cell_angle_gamma 120.58
_symmetry_space_group_name_H-M 'P 1'
_symmetry_Int_Tables_number 1
loop_
_symmetry_equiv_pos_as_xyz
'x,y,z'
loop_
_atom_site_label
_atom_site_type_symbol
_atom_site_fract_x
_atom_site_fract_y
_atom_site_fract_z
S1 S 0.243 0.487 0.381
S2 S 0.197 0.905 0.204
S3 S 0.293 0.095 0.796
S4 S 0.803 0.095 0.796
S5 S 0.757 0.513 0.619
S6 S 0.707 0.905 0.204
P1 P 0.954 0.908 0.823
P2 P 0.046 0.092 0.177
K1 K 0.292 0.584 0.809
K2 K 0.708 0.416 0.191
Tb1 Tb 0.500 0.000 0.500
```

DOS at the Fermi energy in states/eV/f.u.: 2.50
Formation energy without anion corrections in eV/atom: -0.8983
SG: C2/m
Size of the total moment in μB per cell: 0.00

***

Below is BaNi2N after structural relaxation, with properties calculated at the GGA-PBE level.

Geometry as CIF:
```
data_BaNi2N
_chemical_formula_sum 'Ba2 Ni4 N2'
_cell_length_a 5.907
_cell_length_b 5.907
_cell_length_c 5.906
_cell_angle_alpha 59.99
_cell_angle_beta 59.99
_cell_angle_gamma 90.00
_symmetry_space_group_name_H-M 'P 1'
_symmetry_Int_Tables_number 1
loop_
_symmetry_equiv_pos_as_xyz
'x,y,z'
loop_
_atom_site_label
_atom_site_type_symbol
_atom_site_fract_x
_atom_site_fract_y
_atom_site_fract_z
N1 N 0.500 0.500 0.000
N2 N 0.250 0.750 0.500
Ni1 Ni 0.375 0.625 0.750
Ni2 Ni 0.875 0.625 0.750
Ni3 Ni 0.375 0.125 0.250
Ni4 Ni 0.375 0.625 0.250
Ba1 Ba 0.000 0.000 0.000
Ba2 Ba 0.750 0.250 0.500
```

DOS at the Fermi energy in states/eV/f.u.: 4.86
Formation energy without anion corrections in eV/atom: -0.1767
SG: Fd-3m
Size of the total moment in μB per cell: 0.86

***

Below is AgSnHg3 after structural relaxation, with properties calculated at the GGA-PBE level.

Geometry as CIF:
```
data_AgSnHg3
_chemical_formula_sum 'Ag1 Sn1 Hg3'
_cell_length_a 5.318
_cell_length_b 5.318
_cell_length_c 5.318
_cell_angle_alpha 90.00
_cell_angle_beta 90.00
_cell_angle_gamma 90.00
_symmetry_space_group_name_H-M 'P 1'
_symmetry_Int_Tables_number 1
loop_
_symmetry_equiv_pos_as_xyz
'x,y,z'
loop_
_atom_site_label
_atom_site_type_symbol
_atom_site_fract_x
_atom_site_fract_y
_atom_site_fract_z
Sn1 Sn 0.500 0.500 0.500
Ag1 Ag 0.000 0.000 0.000
Hg1 Hg 0.500 0.000 0.000
Hg2 Hg 0.000 0.500 0.000
Hg3 Hg 0.000 0.000 0.500
```

DOS at the Fermi energy in states/eV/f.u.: 3.25
SG: Pm-3m
Energy above the lowest structure with this stoichiometry in eV per atom: 0.000
Formation enthalpy at 0 K in eV per atom: 0.365
Size of the total moment in μB per cell: 0.00

***

Below is AcPm5Pr4 after structural relaxation, with properties calculated at the GGA-PBE level.

Geometry as CIF:
```
data_AcPm5Pr4
_chemical_formula_sum 'Ac1 Pm5 Pr4'
_cell_length_a 3.734
_cell_length_b 3.734
_cell_length_c 25.991
_cell_angle_alpha 90.00
_cell_angle_beta 90.00
_cell_angle_gamma 90.00
_symmetry_space_group_name_H-M 'P 1'
_symmetry_Int_Tables_number 1
loop_
_symmetry_equiv_pos_as_xyz
'x,y,z'
loop_
_atom_site_label
_atom_site_type_symbol
_atom_site_fract_x
_atom_site_fract_y
_atom_site_fract_z
Pr1 Pr 0.000 0.000 0.204
Pr2 Pr 0.000 0.000 0.796
Pr3 Pr 0.000 0.000 0.599
Pr4 Pr 0.000 0.000 0.401
Pm1 Pm 0.500 0.500 0.894
Pm2 Pm 0.500 0.500 0.697
Pm3 Pm 0.500 0.500 0.106
Pm4 Pm 0.500 0.500 0.500
Pm5 Pm 0.500 0.500 0.303
Ac1 Ac 0.000 0.000 0.000
```

DOS at the Fermi energy in states/eV/f.u.: 16.32
SG: P4/mmm
Formation enthalpy at 0 K in eV per atom: 0.024
Size of the total moment in μB per cell: 0.00

***

Below is Y2TcAu after structural relaxation, with properties calculated at the GGA-PBE level.

Geometry as CIF:
```
data_Y2TcAu
_chemical_formula_sum 'Y2 Tc1 Au1'
_cell_length_a 3.501
_cell_length_b 3.520
_cell_length_c 7.916
_cell_angle_alpha 63.68
_cell_angle_beta 90.00
_cell_angle_gamma 90.00
_symmetry_space_group_name_H-M 'P 1'
_symmetry_Int_Tables_number 1
loop_
_symmetry_equiv_pos_as_xyz
'x,y,z'
loop_
_atom_site_label
_atom_site_type_symbol
_atom_site_fract_x
_atom_site_fract_y
_atom_site_fract_z
Y1 Y 0.000 0.017 0.982
Y2 Y 0.000 0.483 0.518
Au1 Au 0.500 0.250 0.250
Tc1 Tc 0.500 0.750 0.750
```

DOS at the Fermi energy in states/eV/f.u.: 2.52
SG: P2/m
Formation enthalpy at 0 K in eV per atom: -0.414
Size of the total moment in μB per cell: 0.00

***

Below is SmTmTh14 after structural relaxation, with properties calculated at the GGA-PBE level.

Geometry as CIF:
```
data_SmTmTh14
_chemical_formula_sum 'Sm1 Tm1 Th14'
_cell_length_a 7.175
_cell_length_b 7.175
_cell_length_c 11.587
_cell_angle_alpha 90.00
_cell_angle_beta 90.00
_cell_angle_gamma 120.03
_symmetry_space_group_name_H-M 'P 1'
_symmetry_Int_Tables_number 1
loop_
_symmetry_equiv_pos_as_xyz
'x,y,z'
loop_
_atom_site_label
_atom_site_type_symbol
_atom_site_fract_x
_atom_site_fract_y
_atom_site_fract_z
Th1 Th 0.874 0.624 0.250
Th2 Th 0.043 0.455 0.500
Th3 Th 0.708 0.791 0.000
Th4 Th 0.875 0.125 0.752
Th5 Th 0.208 0.792 0.000
Th6 Th 0.375 0.625 0.750
Th7 Th 0.874 0.624 0.750
Th8 Th 0.209 0.292 0.000
Th9 Th 0.376 0.126 0.750
Th10 Th 0.376 0.126 0.250
Th11 Th 0.545 0.957 0.500
Th12 Th 0.875 0.125 0.248
Th13 Th 0.375 0.625 0.250
Th14 Th 0.708 0.292 0.000
Sm1 Sm 0.040 0.960 0.500
Tm1 Tm 0.541 0.459 0.500
```

DOS at the Fermi energy in states/eV/f.u.: 20.05
SG: Amm2
Formation enthalpy at 0 K in eV per atom: 0.035
Size of the total moment in μB per cell: 0.00

***

Below is RbHoGe2O6 after structural relaxation, with properties calculated at the GGA-PBE level.

Geometry as CIF:
```
data_RbHoGe2O6
_chemical_formula_sum 'Rb2 Ho2 Ge4 O12'
_cell_length_a 5.409
_cell_length_b 7.609
_cell_length_c 7.609
_cell_angle_alpha 93.24
_cell_angle_beta 85.78
_cell_angle_gamma 85.78
_symmetry_space_group_name_H-M 'P 1'
_symmetry_Int_Tables_number 1
loop_
_symmetry_equiv_pos_as_xyz
'x,y,z'
loop_
_atom_site_label
_atom_site_type_symbol
_atom_site_fract_x
_atom_site_fract_y
_atom_site_fract_z
Ho1 Ho 0.250 0.282 0.718
Ho2 Ho 0.750 0.718 0.282
Ge1 Ge 0.733 0.621 0.789
Ge2 Ge 0.267 0.379 0.211
Ge3 Ge 0.233 0.789 0.621
Ge4 Ge 0.767 0.211 0.379
Rb1 Rb 0.250 0.908 0.092
Rb2 Rb 0.750 0.092 0.908
O1 O 0.788 0.006 0.262
O2 O 0.906 0.730 0.609
O3 O 0.891 0.417 0.787
O4 O 0.109 0.583 0.213
O5 O 0.406 0.609 0.730
O6 O 0.391 0.787 0.417
O7 O 0.609 0.213 0.583
O8 O 0.288 0.262 0.006
O9 O 0.094 0.270 0.391
O10 O 0.594 0.391 0.270
O11 O 0.712 0.738 0.994
O12 O 0.212 0.994 0.738
```

DOS at the Fermi energy in states/eV/f.u.: 0.00
Formation energy without anion corrections in eV/atom: -2.1112
SG: C2/c
Size of the total moment in μB per cell: 0.00

***

Below is DyGe2Rh2 after structural relaxation, with properties calculated at the GGA-PBE level.

Geometry as CIF:
```
data_DyGe2Rh2
_chemical_formula_sum 'Dy1 Ge2 Rh2'
_cell_length_a 5.956
_cell_length_b 5.956
_cell_length_c 5.956
_cell_angle_alpha 139.42
_cell_angle_beta 139.42
_cell_angle_gamma 58.74
_symmetry_space_group_name_H-M 'P 1'
_symmetry_Int_Tables_number 1
loop_
_symmetry_equiv_pos_as_xyz
'x,y,z'
loop_
_atom_site_label
_atom_site_type_symbol
_atom_site_fract_x
_atom_site_fract_y
_atom_site_fract_z
Ge1 Ge 0.621 0.621 0.000
Ge2 Ge 0.379 0.379 0.000
Rh1 Rh 0.750 0.250 0.500
Rh2 Rh 0.250 0.750 0.500
Dy1 Dy 0.000 0.000 0.000
```

DOS at the Fermi energy in states/eV/f.u.: 2.74
SG: I4/mmm
Formation enthalpy at 0 K in eV per atom: -0.888
Size of the total moment in μB per cell: 0.00

***

Below is Ba2AcHg after structural relaxation, with properties calculated at the GGA-PBE level.

Geometry as CIF:
```
data_Ba2AcHg
_chemical_formula_sum 'Ba2 Ac1 Hg1'
_cell_length_a 4.132
_cell_length_b 4.132
_cell_length_c 13.212
_cell_angle_alpha 81.00
_cell_angle_beta 81.00
_cell_angle_gamma 60.00
_symmetry_space_group_name_H-M 'P 1'
_symmetry_Int_Tables_number 1
loop_
_symmetry_equiv_pos_as_xyz
'x,y,z'
loop_
_atom_site_label
_atom_site_type_symbol
_atom_site_fract_x
_atom_site_fract_y
_atom_site_fract_z
Hg1 Hg 0.500 0.500 0.500
Ba1 Ba 0.898 0.898 0.306
Ba2 Ba 0.102 0.102 0.694
Ac1 Ac 0.000 0.000 0.000
```

DOS at the Fermi energy in states/eV/f.u.: 5.79
SG: R-3m
Energy above the lowest structure with this stoichiometry in eV per atom: 0.210
Formation enthalpy at 0 K in eV per atom: 0.026
Size of the total moment in μB per cell: 0.00

***

Below is Sc3HgPd6 after structural relaxation, with properties calculated at the GGA-PBE level.

Geometry as CIF:
```
data_Sc3HgPd6
_chemical_formula_sum 'Sc6 Hg2 Pd12'
_cell_length_a 5.131
_cell_length_b 8.607
_cell_length_c 8.607
_cell_angle_alpha 107.67
_cell_angle_beta 90.00
_cell_angle_gamma 90.00
_symmetry_space_group_name_H-M 'P 1'
_symmetry_Int_Tables_number 1
loop_
_symmetry_equiv_pos_as_xyz
'x,y,z'
loop_
_atom_site_label
_atom_site_type_symbol
_atom_site_fract_x
_atom_site_fract_y
_atom_site_fract_z
Pd1 Pd 0.367 0.535 0.961
Pd2 Pd 0.605 0.265 0.735
Pd3 Pd 0.097 0.690 0.587
Pd4 Pd 0.292 0.973 0.027
Pd5 Pd 0.097 0.413 0.310
Pd6 Pd 0.105 0.735 0.265
Pd7 Pd 0.867 0.465 0.039
Pd8 Pd 0.597 0.587 0.690
Pd9 Pd 0.792 0.027 0.973
Pd10 Pd 0.367 0.039 0.465
Pd11 Pd 0.597 0.310 0.413
Pd12 Pd 0.867 0.961 0.535
Hg1 Hg 0.101 0.181 0.819
Hg2 Hg 0.601 0.819 0.181
Sc1 Sc 0.621 0.614 0.386
Sc2 Sc 0.469 0.910 0.715
Sc3 Sc 0.969 0.090 0.285
Sc4 Sc 0.121 0.386 0.614
Sc5 Sc 0.469 0.285 0.090
Sc6 Sc 0.969 0.715 0.910
```

DOS at the Fermi energy in states/eV/f.u.: 4.35
SG: Cmc2_1
Formation enthalpy at 0 K in eV per atom: -0.605
Size of the total moment in μB per cell: 0.00

***

Below is CaAc4Te6 after structural relaxation, with properties calculated at the GGA-PBE level.

Geometry as CIF:
```
data_CaAc4Te6
_chemical_formula_sum 'Ca2 Ac8 Te12'
_cell_length_a 9.227
_cell_length_b 9.227
_cell_length_c 9.227
_cell_angle_alpha 89.46
_cell_angle_beta 89.46
_cell_angle_gamma 90.54
_symmetry_space_group_name_H-M 'P 1'
_symmetry_Int_Tables_number 1
loop_
_symmetry_equiv_pos_as_xyz
'x,y,z'
loop_
_atom_site_label
_atom_site_type_symbol
_atom_site_fract_x
_atom_site_fract_y
_atom_site_fract_z
Ac1 Ac 0.361 0.139 0.250
Ac2 Ac 0.750 0.750 0.250
Ac3 Ac 0.250 0.250 0.750
Ac4 Ac 0.250 0.639 0.139
Ac5 Ac 0.639 0.861 0.750
Ac6 Ac 0.861 0.250 0.361
Ac7 Ac 0.750 0.361 0.861
Ac8 Ac 0.139 0.750 0.639
Te1 Te 0.939 0.081 0.682
Te2 Te 0.182 0.419 0.439
Te3 Te 0.581 0.439 0.182
Te4 Te 0.919 0.682 0.939
Te5 Te 0.419 0.561 0.818
Te6 Te 0.061 0.919 0.318
Te7 Te 0.561 0.182 0.581
Te8 Te 0.818 0.581 0.561
Te9 Te 0.318 0.939 0.919
Te10 Te 0.439 0.818 0.419
Te11 Te 0.081 0.318 0.061
Te12 Te 0.682 0.061 0.081
Ca1 Ca 0.500 0.500 0.500
Ca2 Ca 0.000 0.000 0.000
```

DOS at the Fermi energy in states/eV/f.u.: 5.73
Formation energy without anion corrections in eV/atom: -1.4977
SG: R-3c
Size of the total moment in μB per cell: 0.00